Entry from Alexandria: crystalline Nd2CdF at its relaxed geometry (GGA-PBE).

Output
**Energy relative to the elements, uncorrected**: -1.234 eV/atom
**Offset from the most stable computed form**: 0.000 eV per atom

abc: 3.8778 3.8778 7.9488
angles: 75.88 75.88 60.00
Element x y z (fractional)
Cd1 0.5000 0.5000 0.5000
Nd1 0.7285 0.7285 0.8146
Nd2 0.2715 0.2715 0.1854
F1 0.0000 0.0000 0.0000